Here is a relaxed structure of CeCuAsS from the Alexandria database. Energies are from PBE.

a = 4.217 Å, b = 4.217 Å, c = 8.663 Å
α = 90.00°, β = 90.00°, γ = 90.00°
Fractional coordinates of all 8 atoms:
Ce 0.250 0.250 0.205
Ce 0.750 0.750 0.795
Cu 0.250 0.750 0.500
Cu 0.750 0.250 0.500
As 0.250 0.250 0.660
As 0.750 0.750 0.340
S 0.250 0.750 0.000
S 0.750 0.250 0.000

Computed properties:
E_form (uncorrected): -4.16 eV/f.u.

Here is a relaxed structure of ZrSbTe2N from the Alexandria database. Energies are from PBE.

a = 5.743 Å, b = 5.743 Å, c = 3.929 Å
α = 90.00°, β = 90.00°, γ = 90.00°
Fractional coordinates of all 5 atoms:
Zr 0.000 0.000 0.000
Sb 0.500 0.500 0.500
Te 0.000 0.500 0.500
Te 0.500 0.000 0.500
N 0.500 0.500 0.000

Computed properties:
E_form (uncorrected): 3.61 eV/f.u.
ΔE to the lowest computed polymorph: 0.683 eV/atom

Here is a relaxed structure of Ti6Co2Bi from the Alexandria database. Energies are from PBE.

a = 7.310 Å, b = 7.310 Å, c = 7.310 Å
α = 110.07°, β = 109.41°, γ = 108.93°
Fractional coordinates of all 18 atoms:
Ti 0.023 0.222 0.801
Ti 0.245 0.260 0.505
Ti 0.245 0.740 0.985
Ti 0.280 0.575 0.295
Ti 0.280 0.986 0.705
Ti 0.421 0.222 0.199
Ti 0.579 0.778 0.801
Ti 0.720 0.014 0.295
Ti 0.720 0.425 0.705
Ti 0.755 0.260 0.015
Ti 0.755 0.740 0.495
Ti 0.977 0.778 0.199
Co 0.000 0.139 0.139
Co 0.000 0.861 0.861
Co 0.364 0.000 0.364
Co 0.636 0.000 0.636
Bi 0.000 0.500 0.500
Bi 0.500 0.500 0.000

Computed properties:
Calculated formation energy: -0.133 eV/atom

Here is a relaxed structure of Rb2PdCl7 from the Alexandria database. Energies are from PBE.

a = 7.742 Å, b = 7.742 Å, c = 11.075 Å
α = 91.51°, β = 91.51°, γ = 81.75°
Fractional coordinates of all 20 atoms:
Rb 0.200 0.213 0.035
Rb 0.213 0.200 0.535
Rb 0.787 0.800 0.465
Rb 0.800 0.787 0.965
Pd 0.272 0.728 0.250
Pd 0.728 0.272 0.750
Cl 0.026 0.974 0.250
Cl 0.105 0.522 0.319
Cl 0.215 0.644 0.051
Cl 0.227 0.598 0.740
Cl 0.356 0.785 0.449
Cl 0.402 0.773 0.760
Cl 0.478 0.895 0.181
Cl 0.522 0.105 0.819
Cl 0.598 0.227 0.240
Cl 0.644 0.215 0.551
Cl 0.773 0.402 0.260
Cl 0.785 0.356 0.949
Cl 0.895 0.478 0.681
Cl 0.974 0.026 0.750

Computed properties:
E_form (uncorrected): -9.38 eV/f.u.
ΔE to the lowest computed polymorph: 0.000 eV/atom

Here is a relaxed structure of InSb2Pd8 from the Alexandria database. Energies are from PBE.

a = 7.753 Å, b = 7.753 Å, c = 6.500 Å
α = 109.30°, β = 109.30°, γ = 30.88°
Fractional coordinates of all 11 atoms:
In 0.000 0.000 0.000
Sb 0.301 0.301 0.332
Sb 0.699 0.699 0.668
Pd 0.089 0.089 0.459
Pd 0.175 0.175 0.929
Pd 0.343 0.343 0.773
Pd 0.465 0.465 0.256
Pd 0.535 0.535 0.744
Pd 0.657 0.657 0.227
Pd 0.825 0.825 0.071
Pd 0.911 0.911 0.541

Computed properties:
E_form (uncorrected): -4.65 eV/f.u.
ΔE to the lowest computed polymorph: 0.000 eV/atom

Here is a relaxed structure of Na2Tb2US6 from the Alexandria database. Energies are from PBE.

a = 6.933 Å, b = 6.933 Å, c = 7.107 Å
α = 99.33°, β = 99.33°, γ = 119.89°
Fractional coordinates of all 11 atoms:
Na 0.169 0.831 0.000
Na 0.831 0.169 0.000
Tb 0.334 0.666 0.500
Tb 0.666 0.334 0.500
U 0.000 0.000 0.500
S 0.069 0.401 0.721
S 0.250 0.250 0.280
S 0.401 0.069 0.721
S 0.599 0.931 0.279
S 0.750 0.750 0.720
S 0.931 0.599 0.279

Computed properties:
E_form (uncorrected): -18.62 eV/f.u.

Here is a relaxed structure of Ac2Cu3Sn4Ir from the Alexandria database. Energies are from PBE.

a = 4.648 Å, b = 4.648 Å, c = 10.712 Å
α = 90.00°, β = 90.00°, γ = 90.00°
Fractional coordinates of all 10 atoms:
Ac 0.000 0.500 0.236
Ac 0.500 0.000 0.764
Cu 0.000 0.000 0.000
Cu 0.000 0.500 0.631
Cu 0.500 0.000 0.369
Sn 0.000 0.000 0.500
Sn 0.000 0.500 0.876
Sn 0.500 0.000 0.124
Sn 0.500 0.500 0.500
Ir 0.500 0.500 0.000

Computed properties:
Calculated formation energy: -0.455 eV/atom

Here is a relaxed structure of CdMoSeBr2 from the Alexandria database. Energies are from PBE.

a = 5.327 Å, b = 5.327 Å, c = 4.891 Å
α = 90.00°, β = 90.00°, γ = 90.00°
Fractional coordinates of all 5 atoms:
Cd 0.000 0.000 0.000
Mo 0.500 0.500 0.500
Se 0.500 0.500 0.000
Br 0.000 0.500 0.500
Br 0.500 0.000 0.500

Computed properties:
E_form (uncorrected): 0.02 eV/f.u.
ΔE to the lowest computed polymorph: 0.000 eV/atom

Here is a relaxed structure of AcGa2Au7 from the Alexandria database. Energies are from PBE.

a = 7.423 Å, b = 7.423 Å, c = 5.025 Å
α = 90.00°, β = 90.00°, γ = 118.66°
Fractional coordinates of all 10 atoms:
Ac 0.000 0.000 0.000
Ga 0.296 0.704 0.500
Ga 0.704 0.296 0.500
Au 0.068 0.305 0.500
Au 0.244 0.756 0.000
Au 0.305 0.068 0.500
Au 0.500 0.500 0.500
Au 0.695 0.932 0.500
Au 0.756 0.244 0.000
Au 0.932 0.695 0.500

Computed properties:
Calculated formation energy: -0.254 eV/atom

Here is a relaxed structure of TiSiTe4 from the Alexandria database. Energies are from PBE.

a = 6.232 Å, b = 6.232 Å, c = 10.886 Å
α = 90.00°, β = 90.00°, γ = 90.00°
Fractional coordinates of all 12 atoms:
Ti 0.000 0.000 0.000
Ti 0.000 0.000 0.500
Si 0.000 0.500 0.250
Si 0.500 0.000 0.750
Te 0.252 0.272 0.382
Te 0.252 0.728 0.118
Te 0.272 0.252 0.882
Te 0.272 0.748 0.618
Te 0.728 0.252 0.618
Te 0.728 0.748 0.882
Te 0.748 0.272 0.118
Te 0.748 0.728 0.382

Computed properties:
E_form (uncorrected): -1.06 eV/f.u.

Here is a relaxed structure of Zr2CuMo from the Alexandria database. Energies are from PBE.

a = 2.968 Å, b = 2.968 Å, c = 29.167 Å
α = 90.00°, β = 90.00°, γ = 120.00°
Fractional coordinates of all 12 atoms:
Zr 0.000 0.000 0.246
Zr 0.000 0.000 0.754
Zr 0.333 0.667 0.421
Zr 0.333 0.667 0.913
Zr 0.667 0.333 0.087
Zr 0.667 0.333 0.579
Cu 0.000 0.000 0.500
Cu 0.333 0.667 0.167
Cu 0.667 0.333 0.833
Mo 0.000 0.000 0.000
Mo 0.333 0.667 0.667
Mo 0.667 0.333 0.333

Computed properties:
Calculated formation energy: 0.304 eV/atom
ΔE to the lowest computed polymorph: 0.417 eV/atom

Here is a relaxed structure of TlCuPd from the Alexandria database. Energies are from PBE.

a = 3.972 Å, b = 3.972 Å, c = 6.912 Å
α = 90.00°, β = 90.00°, γ = 90.00°
Fractional coordinates of all 6 atoms:
Tl 0.250 0.250 0.178
Tl 0.750 0.750 0.822
Cu 0.250 0.750 0.500
Cu 0.750 0.250 0.500
Pd 0.250 0.250 0.758
Pd 0.750 0.750 0.242

Computed properties:
Calculated formation energy: -0.012 eV/atom
ΔE to the lowest computed polymorph: 0.000 eV/atom

Repeat the eighth record exactly.
Here is a relaxed structure of CdMoSeBr2 from the Alexandria database. Energies are from PBE.

a = 5.327 Å, b = 5.327 Å, c = 4.891 Å
α = 90.00°, β = 90.00°, γ = 90.00°
Fractional coordinates of all 5 atoms:
Cd 0.000 0.000 0.000
Mo 0.500 0.500 0.500
Se 0.500 0.500 0.000
Br 0.000 0.500 0.500
Br 0.500 0.000 0.500

Computed properties:
E_form (uncorrected): 0.02 eV/f.u.
ΔE to the lowest computed polymorph: 0.000 eV/atom